No. 1
Below is a geometry-optimized NaSmZnPt structure, with properties calculated at the PBE level.

Cell lengths 4.950, 4.950, 4.950 Å; angles 60.00, 60.00, 60.00 degrees
Positions (direct):
Zn: 0.250 0.250 0.250
Sm: 0.000 0.000 0.000
Pt: 0.750 0.750 0.750
Na: 0.500 0.500 0.500

Properties
* SG: No. 216

No. 2
Below is a geometry-optimized NaSn6Pt3 structure, with properties calculated at the PBE level.

Cell lengths 4.439, 8.700, 12.767 Å; angles 100.51, 90.00, 90.00 degrees
Positions (direct):
Sn: 0.250 0.143 0.991
Sn: 0.750 0.778 0.342
Sn: 0.250 0.222 0.658
Sn: 0.250 0.598 0.452
Sn: 0.750 0.531 0.115
Sn: 0.750 0.691 0.769
Sn: 0.750 0.857 0.009
Sn: 0.750 0.402 0.548
Sn: 0.250 0.309 0.231
Sn: 0.750 0.122 0.346
Sn: 0.250 0.469 0.885
Sn: 0.250 0.878 0.654
Pt: 0.750 0.380 0.754
Pt: 0.750 0.728 0.556
Pt: 0.750 0.166 0.128
Pt: 0.250 0.272 0.444
Pt: 0.250 0.620 0.246
Pt: 0.250 0.834 0.872
Na: 0.250 0.924 0.185
Na: 0.750 0.076 0.815

Properties
* SG: No. 11

No. 3
Below is a geometry-optimized NaSn2Pt structure, with properties calculated at the PBE level.

Cell lengths 4.949, 4.949, 4.949 Å; angles 60.00, 60.00, 60.00 degrees
Positions (direct):
Pt: 0.500 0.500 0.500
Sn: 0.250 0.250 0.250
Sn: 0.750 0.750 0.750
Na: 0.000 0.000 0.000

Properties
* SG: No. 225

No. 4
Below is a geometry-optimized NaSnPt3 structure, with properties calculated at the PBE level.

Cell lengths 5.019, 5.019, 5.019 Å; angles 90.00, 90.00, 90.00 degrees
Positions (direct):
Na: 0.500 0.500 0.500
Pt: 0.000 0.500 0.000
Pt: 0.000 0.000 0.500
Pt: 0.500 0.000 0.000
Sn: 0.000 0.000 0.000

Properties
* relative energy among the computed polymorphs: 0.7320 eV per atom
* SG: No. 221

| no. | formation enthalpy at 0 K (eV/atom) | total moment (μB per atom) |
| --- | --- | --- |
| 1 | -0.403 | 0.000 |
| 2 | -0.380 | 0.000 |
| 3 | -0.232 | 0.000 |
| 4 | 0.463 | 0.000 |